No. 1
Material: Tm3Ga9Pt2
Method: DFT, PBE
State: optimized geometry

Summary:
The formation energy is -663.7 meV/atom.

a b c (Å): 8.1667 8.1667 8.1667
angles (deg): 150.15 104.56 83.18
Closest atoms and distances in Å follow each position.
Fractional coordinates of all 14 atoms:
Tm  0.0000  0.0000  0.0000  12 Ga 3.19-3.22, 4 Pt 3.48
Tm  0.3231  0.3231  0.0000  10 Ga 3.02-3.10, 2 Pt 3.10
Tm  0.6769  0.6769  0.0000  10 Ga 3.02-3.10, 2 Pt 3.10
Ga  0.5000  0.0000  0.5000  4 Ga 2.72, 4 Tm 3.02
Ga  0.9565  0.3322  0.6243  4 Ga 2.48-2.65, 1 Pt 2.56
Ga  0.0435  0.6678  0.3757  4 Ga 2.48-2.65, 1 Pt 2.56
Ga  0.7080  0.3322  0.3757  4 Ga 2.48-2.65, 1 Pt 2.56
Ga  0.2920  0.6678  0.6243  4 Ga 2.48-2.65, 1 Pt 2.56
Ga  0.8514  0.1307  0.7207  2 Pt 2.64, 4 Ga 2.64-2.72
Ga  0.1486  0.8693  0.2793  2 Pt 2.64, 4 Ga 2.64-2.72
Ga  0.4100  0.1307  0.2793  2 Pt 2.64, 4 Ga 2.64-2.72
Ga  0.5900  0.8693  0.7207  2 Pt 2.64, 4 Ga 2.64-2.72
Pt  0.2771  0.5000  0.7771  6 Ga 2.56-2.64
Pt  0.7229  0.5000  0.2229  6 Ga 2.56-2.64

No. 2
Material: LiSnPd3
Method: DFT, PBE
State: optimized geometry

Summary:
The calculation puts the energy relative to the lowest polymorph listed for this composition at 37.9 meV per atom. The formation energy is -512.6 meV/atom.

a b c (Å): 7.4381 7.4381 9.4202
angles (deg): 75.25 75.25 39.54
Closest atoms and distances in Å follow each position.
Fractional coordinates of all 20 atoms:
Li  0.9007  0.3876  0.9835  8 Pd 2.66-2.90, 3 Sn 2.92-2.97
Li  0.6124  0.0993  0.5165  8 Pd 2.66-2.90, 3 Sn 2.92-2.97
Li  0.0993  0.6124  0.0165  8 Pd 2.66-2.90, 3 Sn 2.92-2.97
Li  0.3876  0.9007  0.4835  8 Pd 2.66-2.90, 3 Sn 2.92-2.97
Sn  0.0000  0.5000  0.5000  8 Pd 2.69-2.88, 4 Li 2.92-2.97
Sn  0.5000  0.0000  0.0000  8 Pd 2.69-2.88, 4 Li 2.92-2.97
Sn  0.5619  0.4381  0.2500  10 Pd 2.75-2.93, 2 Li 2.93
Sn  0.4381  0.5619  0.7500  10 Pd 2.75-2.93, 2 Li 2.93
Pd  0.8453  0.9497  0.7559  2 Li 2.66-2.79, 7 Pd 2.78-2.95, 3 Sn 2.82-2.93
Pd  0.0503  0.1547  0.7441  2 Li 2.66-2.79, 7 Pd 2.78-2.95, 3 Sn 2.82-2.93
Pd  0.1547  0.0503  0.2441  2 Li 2.66-2.79, 7 Pd 2.78-2.95, 3 Sn 2.82-2.93
Pd  0.9497  0.8453  0.2559  2 Li 2.66-2.79, 7 Pd 2.78-2.95, 3 Sn 2.82-2.93
Pd  0.6378  0.7600  0.7408  3 Sn 2.69-2.88, 3 Li 2.72-2.90, 6 Pd 2.81-2.92
Pd  0.2400  0.3622  0.7592  3 Sn 2.69-2.88, 3 Li 2.72-2.90, 6 Pd 2.81-2.92
Pd  0.3622  0.2400  0.2592  3 Sn 2.69-2.88, 3 Li 2.72-2.90, 6 Pd 2.81-2.92
Pd  0.7600  0.6378  0.2408  3 Sn 2.69-2.88, 3 Li 2.72-2.90, 6 Pd 2.81-2.92
Pd  0.3074  0.7968  0.9998  3 Li 2.71-2.82, 3 Sn 2.75-2.80, 6 Pd 2.78-2.95
Pd  0.2032  0.6926  0.5002  3 Li 2.71-2.82, 3 Sn 2.75-2.80, 6 Pd 2.78-2.95
Pd  0.7968  0.3074  0.4998  3 Li 2.71-2.82, 3 Sn 2.75-2.80, 6 Pd 2.78-2.95
Pd  0.6926  0.2032  0.0002  3 Li 2.71-2.82, 3 Sn 2.75-2.80, 6 Pd 2.78-2.95

No. 3
Material: Ag2SnBr5
Method: DFT, PBE
State: optimized geometry

Summary:
The value obtained for the uncorrected formation energy is -413 meV per atom. The calculation puts the energy relative to the lowest polymorph listed for this composition at 0.0 meV per atom.

a b c (Å): 7.7596 7.3389 7.5359
angles (deg): 112.18 120.98 90.00
Closest atoms and distances in Å follow each position.
Fractional coordinates of all 8 atoms:
Ag  0.0165  0.4814  0.0330  5 Br 2.78-2.99
Ag  0.6091  0.0433  0.2182  5 Br 2.79-2.85
Sn  0.0335  0.0338  0.0670  5 Br 2.69-2.80
Br  0.8958  0.3313  0.2817  1 Sn 2.76, 2 Ag 2.79-2.99
Br  0.3858  0.3313  0.2817  1 Sn 2.76, 2 Ag 2.79-2.99
Br  0.7486  0.7370  0.9977  2 Ag 2.78-2.83, 1 Sn 2.80
Br  0.2490  0.7370  0.9976  2 Ag 2.78-2.83, 1 Sn 2.80
Br  0.8386  0.0820  0.6772  1 Sn 2.69, 2 Ag 2.82-2.85

No. 4
Material: FeOsRu2
Method: DFT, PBE
State: optimized geometry

Summary:
The formation energy is 458.1 meV/atom.

a b c (Å): 4.2907 4.2907 4.2927
angles (deg): 60.02 60.02 60.00
Closest atoms and distances in Å follow each position.
Fractional coordinates of all 4 atoms:
Fe  0.4999  0.4999  0.5003  4 Os 2.63, 4 Ru 2.63
Os  0.7500  0.7500  0.7501  4 Ru 2.63, 4 Fe 2.63
Ru  0.0001  0.0001  0.9998  4 Os 2.63, 4 Ru 2.63
Ru  0.2501  0.2501  0.2498  4 Fe 2.63, 4 Ru 2.63

No. 5
Material: CsHgH3
Method: DFT, PBE
State: optimized geometry

Summary:
The calculation puts the energy relative to the lowest polymorph listed for this composition at 103.8 meV per atom.

a b c (Å): 4.2932 4.2932 4.2932
angles (deg): 90.00 90.00 90.00
Closest atoms and distances in Å follow each position.
Fractional coordinates of all 5 atoms:
Cs  0.5000  0.5000  0.5000  12 H 3.04
H  0.0000  0.5000  0.0000  2 Hg 2.15
H  0.0000  0.0000  0.5000  2 Hg 2.15
H  0.5000  0.0000  0.0000  2 Hg 2.15
Hg  0.0000  0.0000  0.0000  6 H 2.15

No. 6
Material: Mg3CdIn3
Method: DFT, PBE
State: optimized geometry

Summary:
The calculation puts the energy relative to the lowest polymorph listed for this composition at 555.2 meV per atom. The formation energy is 526.2 meV/atom.

a b c (Å): 8.1231 8.1231 8.1231
angles (deg): 90.00 90.00 90.00
Closest atoms and distances in Å follow each position.
Fractional coordinates of all 14 atoms:
Mg  0.0000  0.2500  0.5000  4 In 2.87
Mg  0.0000  0.7500  0.5000  4 In 2.87
Mg  0.5000  0.0000  0.7500  4 In 2.87
Mg  0.7500  0.5000  0.0000  4 In 2.87
Mg  0.5000  0.0000  0.2500  4 In 2.87
Mg  0.2500  0.5000  0.0000  4 In 2.87
Cd  0.5000  0.5000  0.5000  12 In 4.54, 12 Mg 4.54
Cd  0.0000  0.0000  0.0000  12 In 4.54, 12 Mg 4.54
In  0.2500  0.0000  0.5000  4 Mg 2.87
In  0.0000  0.5000  0.2500  4 Mg 2.87
In  0.5000  0.7500  0.0000  4 Mg 2.87
In  0.7500  0.0000  0.5000  4 Mg 2.87
In  0.0000  0.5000  0.7500  4 Mg 2.87
In  0.5000  0.2500  0.0000  4 Mg 2.87

No. 7
Material: AcPrGeI
Method: DFT, PBE
State: optimized geometry

Summary:
The value obtained for the uncorrected formation energy is -743 meV per atom. The calculation puts the energy relative to the lowest polymorph listed for this composition at 262.0 meV per atom.

a b c (Å): 5.5655 5.5655 5.5655
angles (deg): 60.00 60.00 60.00
Closest atoms and distances in Å follow each position.
Fractional coordinates of all 4 atoms:
Pr  0.7500  0.7500  0.7500  4 Ge 3.41, 4 I 3.41
I  0.5000  0.5000  0.5000  4 Pr 3.41, 4 Ac 3.41
Ac  0.2500  0.2500  0.2500  4 Ge 3.41, 4 I 3.41
Ge  0.0000  0.0000  0.0000  4 Ac 3.41, 4 Pr 3.41

No. 8
Material: Pm2NdMn
Method: DFT, PBE
State: optimized geometry

Summary:
The calculation puts the energy relative to the lowest polymorph listed for this composition at 374.7 meV per atom. The formation energy is 540.7 meV/atom.

a b c (Å): 3.4674 3.4674 11.8851
angles (deg): 81.61 81.61 60.00
Closest atoms and distances in Å follow each position.
Fractional coordinates of all 4 atoms:
Mn  0.0000  0.0000  0.0000  2 Pm 2.83
Nd  0.5000  0.5000  0.5000  6 Nd 3.47, 6 Pm 3.63
Pm  0.0804  0.0804  0.7587  1 Mn 2.83
Pm  0.9196  0.9196  0.2413  1 Mn 2.83

No. 9
Material: MnInSi2
Method: DFT, PBE
State: optimized geometry

Summary:
The value obtained for the uncorrected formation energy is 97 meV per atom.

a b c (Å): 4.4358 4.4358 5.9112
angles (deg): 62.11 62.11 40.40
Closest atoms and distances in Å follow each position.
Fractional coordinates of all 4 atoms:
In  0.5648  0.5648  0.5141  4 Si 2.63-2.89, 2 Mn 2.76
Mn  0.2533  0.2533  0.0692  5 Si 2.30-2.39
Si  0.9531  0.9531  0.1198  3 Mn 2.37-2.39, 2 Si 2.63
Si  0.7288  0.7288  0.7969  2 Mn 2.30

No. 10
Material: Na2NbV
Method: DFT, PBE
State: optimized geometry

Summary:
The calculation puts the energy relative to the lowest polymorph listed for this composition at 0.0 meV per atom. The formation energy is 1312.0 meV/atom.

a b c (Å): 8.3705 8.3705 6.4149
angles (deg): 49.27 49.27 90.00
Closest atoms and distances in Å follow each position.
Fractional coordinates of all 8 atoms:
Na  0.6078  0.1250  0.2500  2 Na 2.49
Na  0.1422  0.6250  0.2500  2 Na 2.49
Na  0.3750  0.3922  0.7500  2 Na 2.49
Na  0.8750  0.8578  0.7500  2 Na 2.49
Nb  0.0000  0.0000  0.0000  2 V 2.47
Nb  0.7500  0.2500  0.5000  2 V 2.47
V  0.5000  0.5000  0.0000  2 Nb 2.47
V  0.2500  0.7500  0.5000  2 Nb 2.47

Number 1: DFT total energy -4.431 eV per atom. Number 2: DFT total energy -4.812 eV per atom. Number 3: DFT total energy -2.672 eV per atom. Number 4: DFT total energy -9.103 eV per atom. Number 5: DFT total energy -2.129 eV per atom. Number 6: DFT total energy -1.462 eV per atom. Number 7: DFT total energy -4.506 eV per atom. Number 8: DFT total energy -5.319 eV per atom. Number 9: DFT total energy -5.591 eV per atom. Number 10: DFT total energy -4.145 eV per atom.